No. 1
Tb2SmPt: relaxed, PBE.

Structure (POSCAR):
```
Tb2SmPt
1.0
3.588 0.000 0.000
0.000 3.588 0.000
0.000 0.000 8.578
Sm Tb Pt
1 2 1
direct
0.500 0.500 0.500 Sm
0.000 0.000 0.808 Tb
0.000 0.000 0.192 Tb
0.500 0.500 0.000 Pt
```

Properties
**Magnetization**: 0.00 μB per formula unit
**ΔH_f (0 K)**: -0.578 eV/atom
**Final energy**: -5.58 eV/atom
**Energy relative to the lowest polymorph listed for this composition**: 110.7 meV/atom

No. 2
Tb2SmPt9: relaxed, PBE.

Structure (POSCAR):
```
Tb2SmPt9
1.0
-2.870 -4.204 1.890
0.309 -4.827 -2.467
5.908 -5.264 5.064
Pt Tb Sm
9 2 1
direct
0.588 0.588 0.744 Pt
0.500 0.500 0.500 Pt
0.412 0.412 0.256 Pt
0.081 0.588 0.744 Pt
0.667 0.667 0.999 Pt
0.919 0.412 0.256 Pt
0.588 0.081 0.744 Pt
0.333 0.333 0.001 Pt
0.412 0.919 0.256 Pt
0.861 0.861 0.418 Tb
0.139 0.139 0.582 Tb
0.000 0.000 0.000 Sm
```

Properties
**Magnetization**: 0.00 μB per formula unit
**ΔH_f (0 K)**: -0.951 eV/atom
**Final energy**: -6.65 eV/atom

No. 3
Tb4Sm3Pt4: relaxed, PBE.

Structure (POSCAR):
```
Tb4Sm3Pt4
1.0
4.582 0.000 0.000
0.000 7.869 0.000
-2.291 -3.934 7.817
Tb Pt Sm
4 4 3
direct
0.330 0.541 0.659 Tb
0.330 0.119 0.659 Tb
0.670 0.881 0.341 Tb
0.670 0.459 0.341 Tb
0.500 0.183 0.000 Pt
0.209 0.709 0.418 Pt
0.500 0.817 0.000 Pt
0.791 0.291 0.582 Pt
0.899 0.899 0.798 Sm
0.000 0.500 0.000 Sm
0.101 0.101 0.202 Sm
```

Properties
**Magnetization**: 0.00 μB per formula unit
**ΔH_f (0 K)**: -0.871 eV/atom
**Final energy**: -6.04 eV/atom

No. 4
Tb2SmPt: relaxed, PBE.

Structure (POSCAR):
```
Tb2SmPt
1.0
3.964 0.000 0.000
1.982 3.433 0.000
1.982 1.144 9.033
Tb Pt Sm
2 1 1
direct
0.060 0.060 0.820 Tb
0.273 0.273 0.182 Tb
0.666 0.666 0.003 Pt
0.502 0.502 0.495 Sm
```

Properties
**Magnetization**: 0.00 μB per formula unit
**ΔH_f (0 K)**: -0.524 eV/atom
**Final energy**: -5.53 eV/atom
**Energy relative to the lowest polymorph listed for this composition**: 164.6 meV/atom

No. 5
TbSm2Pt9: relaxed, PBE.

Structure (POSCAR):
```
TbSm2Pt9
1.0
5.434 0.000 0.000
2.717 4.706 0.000
2.717 1.569 8.905
Pt Sm Tb
9 2 1
direct
0.081 0.587 0.746 Pt
0.500 0.500 0.500 Pt
0.587 0.587 0.746 Pt
0.587 0.081 0.746 Pt
0.919 0.413 0.254 Pt
0.413 0.413 0.254 Pt
0.333 0.333 0.001 Pt
0.413 0.919 0.254 Pt
0.667 0.667 0.999 Pt
0.139 0.139 0.583 Sm
0.861 0.861 0.417 Sm
0.000 0.000 0.000 Tb
```

Properties
**Magnetization**: 0.00 μB per formula unit
**ΔH_f (0 K)**: -0.924 eV/atom
**Final energy**: -6.63 eV/atom

No. 6
Tb2SmPt: relaxed, PBE.

Structure (POSCAR):
```
Tb2SmPt
1.0
3.837 -0.001 0.000
-1.919 6.151 0.000
0.000 0.000 9.436
Tb Sm Pt
4 2 2
direct
0.638 0.275 0.063 Tb
0.362 0.725 0.563 Tb
0.638 0.275 0.437 Tb
0.362 0.725 0.937 Tb
0.069 0.137 0.750 Sm
0.931 0.863 0.250 Sm
0.237 0.473 0.250 Pt
0.763 0.527 0.750 Pt
```

Properties
**Magnetization**: 0.00 μB per formula unit
**ΔH_f (0 K)**: -0.656 eV/atom
**Final energy**: -5.66 eV/atom
**Energy relative to the lowest polymorph listed for this composition**: 33.3 meV/atom

No. 7
TbSm3Pt: relaxed, PBE.

Structure (POSCAR):
```
TbSm3Pt
1.0
-1.534 3.441 -0.533
-6.365 -0.592 0.917
0.633 4.256 12.064
Pt Sm Tb
2 6 2
direct
0.438 0.342 0.783 Pt
0.769 0.334 0.128 Pt
0.102 0.170 0.627 Sm
0.763 0.718 0.755 Sm
0.782 0.046 0.389 Sm
0.990 0.104 0.915 Sm
0.451 0.944 0.154 Sm
0.431 0.622 0.516 Sm
0.223 0.558 0.996 Tb
0.112 0.498 0.278 Tb
```

Properties
**Magnetization**: 0.00 μB per formula unit
**ΔH_f (0 K)**: -0.504 eV/atom
**Final energy**: -5.47 eV/atom
**Energy relative to the lowest polymorph listed for this composition**: 0.0 meV/atom

No. 8
Tb4SmPt2: relaxed, PBE.

Structure (POSCAR):
```
Tb4SmPt2
1.0
6.498 0.000 0.000
0.000 7.176 -3.033
0.000 0.022 8.104
Tb Pt Sm
8 4 2
direct
0.507 0.408 0.766 Tb
0.007 0.592 0.234 Tb
0.493 0.592 0.234 Tb
0.750 0.016 0.386 Tb
0.250 0.250 0.347 Tb
0.993 0.408 0.766 Tb
0.750 0.750 0.653 Tb
0.250 0.984 0.614 Tb
0.250 0.252 0.992 Pt
0.250 0.623 0.589 Pt
0.750 0.748 0.008 Pt
0.750 0.377 0.411 Pt
0.750 0.151 0.024 Sm
0.250 0.849 0.976 Sm
```

Properties
**Magnetization**: 0.00 μB per formula unit
**ΔH_f (0 K)**: -0.674 eV/atom
**Final energy**: -5.72 eV/atom

No. 9
TbSmZnPt: relaxed, PBE.

Structure (POSCAR):
```
TbSmZnPt
1.0
-3.581 -1.457 -0.367
0.809 -0.900 -4.320
3.646 -4.180 1.554
Tb Zn Sm Pt
1 1 1 1
direct
0.860 0.500 0.720 Tb
0.574 0.500 0.149 Zn
0.141 0.000 0.281 Sm
0.425 0.000 0.850 Pt
```

Properties
**Magnetization**: 0.00 μB per formula unit
**ΔH_f (0 K)**: -0.781 eV/atom
**Final energy**: -4.95 eV/atom
**Energy relative to the lowest polymorph listed for this composition**: 0.0 meV/atom

No. 10
TbSmZnPt: relaxed, PBE.

Structure (POSCAR):
```
TbSmZnPt
1.0
-2.151 3.386 3.066
-3.103 -1.535 3.675
1.452 0.317 4.825
Zn Tb Sm Pt
1 1 1 1
direct
0.500 0.500 0.500 Zn
0.250 0.250 0.250 Tb
0.750 0.750 0.750 Sm
0.000 0.000 0.000 Pt
```

Properties
**Magnetization**: 0.00 μB per formula unit
**ΔH_f (0 K)**: -0.742 eV/atom
**Final energy**: -4.91 eV/atom
**Energy relative to the lowest polymorph listed for this composition**: 39.3 meV/atom

No. 11
Sm8TcPt2: relaxed, PBE.

Structure (POSCAR):
```
Sm8TcPt2
1.0
5.957 0.040 -1.014
-2.004 6.882 -3.013
-0.121 -0.231 7.771
Tc Sm Pt
1 8 2
direct
0.108 0.009 0.009 Tc
0.992 0.788 0.210 Sm
0.381 0.920 0.670 Sm
0.173 0.363 0.363 Sm
0.817 0.647 0.647 Sm
0.992 0.210 0.788 Sm
0.582 0.333 0.084 Sm
0.381 0.670 0.920 Sm
0.582 0.084 0.333 Sm
0.496 0.314 0.697 Pt
0.496 0.697 0.314 Pt
```

Properties
**Magnetization**: 0.00 μB per formula unit
**ΔH_f (0 K)**: -0.352 eV/atom
**Final energy**: -5.83 eV/atom

No. 12
Sm4TcPt: relaxed, PBE.

Structure (POSCAR):
```
Sm4TcPt
1.0
6.257 -0.459 -1.711
-2.874 7.018 -2.665
-0.500 -0.378 8.018
Sm Pt Tc
8 2 2
direct
0.594 0.300 0.951 Sm
0.906 0.049 0.700 Sm
0.225 0.366 0.235 Sm
0.406 0.700 0.049 Sm
0.775 0.634 0.765 Sm
0.725 0.235 0.366 Sm
0.094 0.951 0.300 Sm
0.275 0.765 0.634 Sm
0.750 0.635 0.365 Pt
0.250 0.365 0.635 Pt
0.250 0.003 0.997 Tc
0.750 0.997 0.003 Tc
```

Properties
**Magnetization**: 0.00 μB per formula unit
**ΔH_f (0 K)**: -0.431 eV/atom
**Final energy**: -6.31 eV/atom